! Ag2SnGe2 GGA-PBE optimized geometry; values from VASP
&SYSTEM
  ibrav = 0, nat = 10, ntyp = 3
/
ATOMIC_SPECIES
Ge 72.64 Ge.upf
Sn 118.71 Sn.upf
Ag 107.87 Ag.upf
CELL_PARAMETERS angstrom
-1.3659 1.3638 -7.8987
4.5259 -6.4819 -1.9018
-2.5352 -1.8073 0.1264
ATOMIC_POSITIONS angstrom
Ge 1.5032 -4.9671 -2.4627
Ge 1.6285 -5.4428 -6.7517
Ge -0.8784 -1.9583 -7.2114
Ge -1.0037 -1.4826 -2.9224
Sn 0.0000 0.0000 0.0000
Sn 1.5800 -2.5590 -4.9003
Ag 3.4179 -5.1116 -4.5329
Ag 1.6895 -2.9325 -8.0430
Ag -0.2579 -0.0065 -5.2676
Ag 1.4705 -2.1856 -1.7575
! - relative energy among the computed polymorphs (meV per atom) = 16
! - electronic total energy (eV per atom) = -3.59

! Ag2SnGe2 GGA-PBE optimized geometry; values from VASP
&SYSTEM
  ibrav = 0, nat = 5, ntyp = 3
/
ATOMIC_SPECIES
Ge 72.64 Ge.upf
Sn 118.71 Sn.upf
Ag 107.87 Ag.upf
CELL_PARAMETERS angstrom
4.2637 0.0000 0.0000
0.0000 4.2637 0.0000
2.1319 2.1319 5.8617
ATOMIC_POSITIONS angstrom
Ge 2.1319 2.1319 1.2497
Ge 4.2637 4.2637 4.6120
Sn 0.0000 0.0000 0.0000
Ag 4.2637 2.1319 2.9309
Ag 2.1319 4.2637 2.9309
! - relative energy among the computed polymorphs (meV per atom) = 0
! - electronic total energy (eV per atom) = -3.60

! Ag4SnGe GGA-PBE optimized geometry; values from VASP
&SYSTEM
  ibrav = 0, nat = 6, ntyp = 3
/
ATOMIC_SPECIES
Ge 72.64 Ge.upf
Sn 118.71 Sn.upf
Ag 107.87 Ag.upf
CELL_PARAMETERS angstrom
5.5739 0.0000 0.0000
2.7870 4.8272 0.0000
2.7870 1.6091 4.5511
ATOMIC_POSITIONS angstrom
Ge 2.7870 1.6091 1.1378
Sn 0.0000 0.0000 0.0000
Ag 5.5739 3.2181 0.5722
Ag 5.5739 1.6122 2.8433
Ag 6.9647 4.0211 2.8433
Ag 4.1832 4.0211 2.8433
! - electronic total energy (eV per atom) = -3.16

! Sr3Ag2Sn6Ge GGA-PBE optimized geometry; values from VASP
&SYSTEM
  ibrav = 0, nat = 12, ntyp = 4
/
ATOMIC_SPECIES
Sr 87.62 Sr.upf
Ag 107.87 Ag.upf
Sn 118.71 Sn.upf
Ge 72.64 Ge.upf
CELL_PARAMETERS angstrom
-6.1272 2.0728 0.2002
1.5818 -5.6834 2.6602
1.8316 4.5756 8.6864
ATOMIC_POSITIONS angstrom
Sr 0.0929 -0.3980 6.9659
Sr -2.8068 1.3630 4.5808
Sr 0.0000 0.0000 0.0000
Ag -1.7781 3.9327 9.4594
Ag -0.9358 -2.9678 2.0874
Sn -2.2276 -2.0950 4.7202
Sn -0.0023 -0.3274 3.3199
Sn 0.7721 -3.1097 4.6222
Sn -2.7115 1.2923 8.2269
Sn -0.4863 3.0599 6.8266
Sn -3.4859 4.0747 6.9246
Ge 0.9158 2.2878 4.3432
! - electronic total energy (eV per atom) = -3.48

! Sr2Ag4Sn3Ge GGA-PBE optimized geometry; values from VASP
&SYSTEM
  ibrav = 0, nat = 10, ntyp = 4
/
ATOMIC_SPECIES
Sr 87.62 Sr.upf
Ag 107.87 Ag.upf
Sn 118.71 Sn.upf
Ge 72.64 Ge.upf
CELL_PARAMETERS angstrom
4.6425 0.0000 0.0000
0.0000 4.6425 0.0000
0.0000 0.0000 11.7410
ATOMIC_POSITIONS angstrom
Sr 2.3212 0.0000 2.9412
Sr 0.0000 2.3212 8.7998
Ag 2.3212 2.3212 0.0000
Ag 0.0000 0.0000 0.0000
Ag 2.3212 0.0000 7.4213
Ag 0.0000 2.3212 4.3197
Sn 0.0000 0.0000 5.8705
Sn 2.3212 0.0000 10.1517
Sn 0.0000 2.3212 1.5893
Ge 2.3212 2.3212 5.8705
! - electronic total energy (eV per atom) = -3.45

! AgSnGeTe3 GGA-PBE optimized geometry; values from VASP
&SYSTEM
  ibrav = 0, nat = 12, ntyp = 4
/
ATOMIC_SPECIES
Ag 107.87 Ag.upf
Sn 118.71 Sn.upf
Ge 72.64 Ge.upf
Te 127.60 Te.upf
CELL_PARAMETERS angstrom
4.0202 0.0000 0.0000
0.0000 8.9180 0.6383
0.0000 -2.7924 9.6424
ATOMIC_POSITIONS angstrom
Ag 1.0050 -1.0073 5.7855
Ag 3.0151 7.1329 4.4952
Sn 3.0151 5.0600 7.6664
Sn 1.0050 1.0656 2.6144
Ge 1.0050 5.6701 1.3965
Ge 3.0151 0.4555 8.8843
Te 1.0050 5.1860 5.3080
Te 3.0151 7.6014 1.7342
Te 3.0151 3.4578 1.9867
Te 3.0151 0.9396 4.9727
Te 1.0050 2.6678 8.2940
Te 1.0050 -1.4758 8.5466
! - electronic total energy (eV per atom) = -3.56
! - raw formation energy (eV per atom) = -0.078

! Ag2SnGeTe4 GGA-PBE optimized geometry; values from VASP
&SYSTEM
  ibrav = 0, nat = 8, ntyp = 4
/
ATOMIC_SPECIES
Ag 107.87 Ag.upf
Sn 118.71 Sn.upf
Ge 72.64 Ge.upf
Te 127.60 Te.upf
CELL_PARAMETERS angstrom
6.7523 -0.2534 0.0000
-0.8126 6.7080 0.0000
-2.9699 -3.2273 5.9562
ATOMIC_POSITIONS angstrom
Ag 3.3762 -0.1267 3.0786
Ag -0.4063 3.3540 3.0786
Sn 0.0000 0.0000 0.3541
Ge 2.9699 3.2273 0.0393
Te 1.4330 1.5572 4.3272
Te 1.2787 4.7835 1.3337
Te 4.6610 1.6711 1.3337
Te -1.4330 -1.5572 4.3272
! - electronic total energy (eV per atom) = -3.45
! - raw formation energy (eV per atom) = -0.085

! AgSnGe2Te4 GGA-PBE optimized geometry; values from VASP
&SYSTEM
  ibrav = 0, nat = 8, ntyp = 4
/
ATOMIC_SPECIES
Ag 107.87 Ag.upf
Sn 118.71 Sn.upf
Ge 72.64 Ge.upf
Te 127.60 Te.upf
CELL_PARAMETERS angstrom
4.2553 0.0000 0.0000
0.0000 7.4133 0.1317
0.0000 -2.5922 6.9625
ATOMIC_POSITIONS angstrom
Ag 0.0000 0.0000 0.0000
Sn 2.1277 3.7067 0.0658
Ge 2.1277 -1.2961 3.4812
Ge 0.0000 2.4106 3.5471
Te 2.1277 1.1567 1.8182
Te 2.1277 3.6644 5.2759
Te 0.0000 -0.1347 5.1736
Te 0.0000 4.9558 1.9206
! - electronic total energy (eV per atom) = -3.69
! - raw formation energy (eV per atom) = -0.104

! Ag3Sn2GeTe6 GGA-PBE optimized geometry; values from VASP
&SYSTEM
  ibrav = 0, nat = 12, ntyp = 4
/
ATOMIC_SPECIES
Ag 107.87 Ag.upf
Sn 118.71 Sn.upf
Ge 72.64 Ge.upf
Te 127.60 Te.upf
CELL_PARAMETERS angstrom
4.2538 0.0000 0.0000
0.0000 8.5271 0.3132
-2.1269 -2.4570 8.9557
ATOMIC_POSITIONS angstrom
Ag 2.1269 4.2636 0.1566
Ag 2.1269 -0.2133 5.9788
Ag 0.0000 6.2835 3.2901
Sn 2.1269 4.0558 6.2230
Sn 0.0000 2.0143 3.0459
Ge 2.1269 0.0000 0.0000
Te 0.0000 6.2489 6.2793
Te 2.1269 4.2332 3.1146
Te 2.1269 -0.1787 2.9897
Te 2.1269 -0.3427 8.9659
Te 0.0000 6.4128 0.3030
Te 0.0000 1.8369 6.1544
! - electronic total energy (eV per atom) = -3.46
! - raw formation energy (eV per atom) = -0.127

! TlAgSnGe GGA-PBE optimized geometry; values from VASP
&SYSTEM
  ibrav = 0, nat = 4, ntyp = 4
/
ATOMIC_SPECIES
Tl 204.38 Tl.upf
Ge 72.64 Ge.upf
Sn 118.71 Sn.upf
Ag 107.87 Ag.upf
CELL_PARAMETERS angstrom
5.1276 0.0000 0.0000
2.5638 4.4406 0.0000
2.5638 1.4802 4.1867
ATOMIC_POSITIONS angstrom
Tl 2.5638 1.4802 1.0467
Ge 0.0000 0.0000 0.0000
Sn 7.6914 4.4406 3.1400
Ag 5.1276 2.9604 2.0933
! - electronic total energy (eV per atom) = -3.28

! Sr3Ag3Ge2 GGA-PBE optimized geometry; values from VASP
&SYSTEM
  ibrav = 0, nat = 32, ntyp = 3
/
ATOMIC_SPECIES
Sr 87.62 Sr.upf
Ag 107.87 Ag.upf
Ge 72.64 Ge.upf
CELL_PARAMETERS angstrom
6.1954 0.0000 0.0000
0.0000 8.3987 0.0000
0.0000 0.0000 16.4275
ATOMIC_POSITIONS angstrom
Sr 0.8333 3.9646 6.4910
Sr 3.9310 0.2348 9.9365
Sr 5.3621 4.4341 14.7048
Sr 2.2644 8.1639 1.7228
Sr 5.3621 4.4341 9.9365
Sr 2.2644 8.1639 6.4910
Sr 0.8333 3.9646 1.7228
Sr 3.9310 0.2348 14.7048
Sr 3.9649 2.8928 4.1069
Sr 0.8672 1.3065 12.3207
Sr 2.2305 5.5058 12.3207
Sr 5.3282 7.0922 4.1069
Ag 0.7552 1.5905 4.1069
Ag 3.8529 2.6088 12.3207
Ag 5.4402 6.8082 12.3207
Ag 2.3425 5.7898 4.1069
Ag 3.7538 2.7371 7.6640
Ag 0.6561 1.4622 8.7635
Ag 2.4416 5.6615 15.8778
Ag 5.5393 6.9365 0.5497
Ag 2.4416 5.6615 8.7635
Ag 5.5393 6.9365 7.6640
Ag 3.7538 2.7371 0.5497
Ag 0.6561 1.4622 15.8778
Ge 5.3935 1.0448 6.5069
Ge 2.2959 3.1545 9.9207
Ge 0.8018 7.3538 14.7207
Ge 3.8995 5.2442 1.7069
Ge 0.8018 7.3538 9.9207
Ge 3.8995 5.2442 6.5069
Ge 5.3935 1.0448 1.7069
Ge 2.2959 3.1545 14.7207
! - electronic total energy (eV per atom) = -3.23

! SrAgGe2 GGA-PBE optimized geometry; values from VASP
&SYSTEM
  ibrav = 0, nat = 32, ntyp = 3
/
ATOMIC_SPECIES
Sr 87.62 Sr.upf
Ag 107.87 Ag.upf
Ge 72.64 Ge.upf
CELL_PARAMETERS angstrom
-1.0205 -0.8446 -4.2881
-10.9017 -1.9810 2.9846
-3.1303 14.1500 -2.0422
ATOMIC_POSITIONS angstrom
Sr -8.2221 8.3729 -3.2155
Sr -13.4510 9.1080 0.2328
Sr -6.8305 2.9516 -0.1302
Sr -1.6016 2.2165 -3.5785
Sr -6.5299 12.2992 -4.3916
Sr -10.2196 6.0763 0.0609
Sr -8.5226 -0.9748 1.0459
Sr -4.8330 5.2481 -3.4066
Ag -9.7380 11.6208 -3.4945
Ag -2.5665 7.5624 -2.0531
Ag -5.3145 -0.2964 0.1488
Ag -12.4860 3.7620 -1.2926
Ag -4.8315 1.5438 -2.6773
Ag -10.0969 2.4438 0.7472
Ag -10.2210 9.7806 -0.6684
Ag -4.9556 8.8807 -4.0929
Ge -14.3878 11.0542 -2.2763
Ge -7.0979 6.4607 -0.7577
Ge -0.6648 0.2702 -1.0694
Ge -7.9546 4.8638 -2.5880
Ge -11.9902 10.3785 -2.7138
Ge -5.1731 7.9218 -1.5036
Ge -3.0623 0.9459 -0.6319
Ge -9.8795 3.4027 -1.8421
Ge -11.3783 7.9218 -2.3755
Ge -5.6534 10.4025 -1.8779
Ge -3.6743 3.4027 -0.9701
Ge -9.3991 0.9220 -1.4678
Ge -13.2313 6.3771 -1.6303
Ge -8.0203 11.1804 -1.4678
Ge -1.8212 4.9474 -1.7154
Ge -7.0322 0.1441 -1.8778
! - electronic total energy (eV per atom) = -3.82

! Sr2AgGe GGA-PBE optimized geometry; values from VASP
&SYSTEM
  ibrav = 0, nat = 4, ntyp = 3
/
ATOMIC_SPECIES
Sr 87.62 Sr.upf
Ge 72.64 Ge.upf
Ag 107.87 Ag.upf
CELL_PARAMETERS angstrom
-2.3350 -2.8106 0.9139
1.6092 -2.8095 -4.5290
4.0612 -2.4173 2.9425
ATOMIC_POSITIONS angstrom
Sr 2.0306 -1.2086 1.4712
Sr 0.8046 -1.4048 -2.2645
Ge -1.1675 -1.4053 0.4569
Ag 1.6677 -4.0187 -0.3363
! - electronic total energy (eV per atom) = -3.11

! SrAg2Ge GGA-PBE optimized geometry; values from VASP
&SYSTEM
  ibrav = 0, nat = 8, ntyp = 3
/
ATOMIC_SPECIES
Sr 87.62 Sr.upf
Ag 107.87 Ag.upf
Ge 72.64 Ge.upf
CELL_PARAMETERS angstrom
5.6749 0.1807 1.7943
2.3407 5.3444 0.7401
0.9775 0.0904 6.7797
ATOMIC_POSITIONS angstrom
Sr 5.7773 1.5168 3.5061
Sr 3.2158 4.0987 5.8079
Ag 3.1337 3.2333 2.2409
Ag 5.3336 4.9640 2.9364
Ag 5.8594 2.3821 7.0732
Ag 3.6595 0.6515 6.3776
Ge 2.4488 1.4265 4.1620
Ge 6.5442 4.1890 5.1521
! - electronic total energy (eV per atom) = -3.22

! SrAgGe GGA-PBE optimized geometry; values from VASP
&SYSTEM
  ibrav = 0, nat = 15, ntyp = 3
/
ATOMIC_SPECIES
Sr 87.62 Sr.upf
Ag 107.87 Ag.upf
Ge 72.64 Ge.upf
CELL_PARAMETERS angstrom
6.2947 0.1546 0.2186
4.4917 4.4127 0.2186
3.9283 1.6634 14.7596
ATOMIC_POSITIONS angstrom
Sr 2.9181 1.2356 2.9884
Sr 11.7598 4.9795 12.1787
Sr 8.7457 3.7032 9.0603
Sr 5.9671 2.5267 6.1580
Sr 0.0427 0.0181 0.0025
Ag 11.8442 5.0152 8.8511
Ag 2.8687 1.2147 6.3519
Ag 5.9577 2.5227 2.7581
Ag 8.6696 3.6710 12.4919
Ag 7.7583 3.2851 0.7189
Ge 7.0881 3.0013 14.4686
Ge 10.7081 4.5341 4.0039
Ge 4.0417 1.7114 11.2578
Ge 8.9970 3.8096 5.5969
Ge 5.6358 2.3864 9.4911
! - electronic total energy (eV per atom) = -3.47

! Sr2AgGe GGA-PBE optimized geometry; values from VASP
&SYSTEM
  ibrav = 0, nat = 8, ntyp = 3
/
ATOMIC_SPECIES
Sr 87.62 Sr.upf
Ag 107.87 Ag.upf
Ge 72.64 Ge.upf
CELL_PARAMETERS angstrom
-3.3413 -3.0355 -1.4797
3.0349 -4.6999 2.7882
-5.8811 3.7621 5.5623
ATOMIC_POSITIONS angstrom
Sr -4.3547 -1.7136 1.9098
Sr -1.8328 -2.2596 4.9610
Sr 1.1319 -4.1902 2.2269
Sr -7.3194 0.2169 4.6439
Ag -2.2616 -4.1396 2.1600
Ag -3.9260 0.1664 4.7108
Ge -0.9907 -1.6574 1.8241
Ge -5.1968 -2.3158 5.0466
! - electronic total energy (eV per atom) = -3.14

! SrAgGe2 GGA-PBE optimized geometry; values from VASP
&SYSTEM
  ibrav = 0, nat = 4, ntyp = 3
/
ATOMIC_SPECIES
Sr 87.62 Sr.upf
Ge 72.64 Ge.upf
Ag 107.87 Ag.upf
CELL_PARAMETERS angstrom
2.4273 3.0325 3.2326
-2.6245 2.9972 3.1091
-0.1143 -0.9809 4.9561
ATOMIC_POSITIONS angstrom
Sr 0.0000 0.0000 0.0000
Ge -0.0779 1.2622 2.8244
Ge -0.2336 3.7866 8.4733
Ag -0.1558 2.5244 5.6489
! - electronic total energy (eV per atom) = -3.52

! Sr2AgGe GGA-PBE optimized geometry; values from VASP
&SYSTEM
  ibrav = 0, nat = 8, ntyp = 3
/
ATOMIC_SPECIES
Sr 87.62 Sr.upf
Ge 72.64 Ge.upf
Ag 107.87 Ag.upf
CELL_PARAMETERS angstrom
-1.1336 -1.6540 8.2956
4.2980 -7.3215 -0.8725
4.7028 -2.7480 4.4849
ATOMIC_POSITIONS angstrom
Sr 1.0141 -2.6218 6.1262
Sr 3.7106 -5.4838 1.6836
Sr 4.7504 -5.4892 6.1399
Sr 6.2593 -9.8522 9.8663
Ge 1.5822 -4.4877 3.7116
Ge 5.2915 -7.2786 3.6620
Ag 0.0000 0.0000 0.0000
Ag 2.5757 -4.4449 8.2460
! - electronic total energy (eV per atom) = -2.78

! SrAg6Ge2 GGA-PBE optimized geometry; values from VASP
&SYSTEM
  ibrav = 0, nat = 9, ntyp = 3
/
ATOMIC_SPECIES
Sr 87.62 Sr.upf
Ag 107.87 Ag.upf
Ge 72.64 Ge.upf
CELL_PARAMETERS angstrom
4.5349 0.0000 0.0000
0.0000 4.5349 0.0000
0.0000 0.0000 8.9036
ATOMIC_POSITIONS angstrom
Sr 0.0000 0.0000 0.0000
Ag 0.0000 2.2675 2.6391
Ag 2.2675 0.0000 2.6391
Ag 0.0000 2.2675 6.2646
Ag 2.2675 0.0000 6.2646
Ag 2.2675 2.2675 4.4518
Ag 0.0000 0.0000 4.4518
Ge 2.2675 2.2675 1.2578
Ge 2.2675 2.2675 7.6458
! - electronic total energy (eV per atom) = -3.27

! Sr2Ag3Ge2 GGA-PBE optimized geometry; values from VASP
&SYSTEM
  ibrav = 0, nat = 7, ntyp = 3
/
ATOMIC_SPECIES
Sr 87.62 Sr.upf
Ag 107.87 Ag.upf
Ge 72.64 Ge.upf
CELL_PARAMETERS angstrom
4.5394 0.0000 0.0000
-2.2697 5.5299 -0.1478
0.0000 -2.7272 6.7419
ATOMIC_POSITIONS angstrom
Sr 2.2697 3.2944 1.4777
Sr 0.0000 -0.4918 5.1164
Ag 2.2697 0.0000 0.0000
Ag 2.2697 0.0895 2.8560
Ag 0.0000 2.7131 3.7380
Ge 2.2697 1.8299 5.1291
Ge 0.0000 0.9727 1.4650
! - electronic total energy (eV per atom) = -3.33

! Sr3AgGe4 GGA-PBE optimized geometry; values from VASP
&SYSTEM
  ibrav = 0, nat = 8, ntyp = 3
/
ATOMIC_SPECIES
Sr 87.62 Sr.upf
Ag 107.87 Ag.upf
Ge 72.64 Ge.upf
CELL_PARAMETERS angstrom
4.7626 0.0000 0.0000
0.0000 6.0664 0.0000
-2.3813 -3.0332 8.2103
ATOMIC_POSITIONS angstrom
Sr 0.0000 0.0000 3.1977
Sr 2.3813 3.0332 5.0126
Sr 0.0000 3.0332 0.0000
Ag 2.3813 0.0000 0.0000
Ge 0.0000 1.2131 6.2789
Ge 2.3813 1.8201 1.9313
Ge 2.3813 4.2463 1.9313
Ge 0.0000 -1.2131 6.2789
! - electronic total energy (eV per atom) = -3.64

! Sr2Ag5Ge3 GGA-PBE optimized geometry; values from VASP
&SYSTEM
  ibrav = 0, nat = 10, ntyp = 3
/
ATOMIC_SPECIES
Sr 87.62 Sr.upf
Ag 107.87 Ag.upf
Ge 72.64 Ge.upf
CELL_PARAMETERS angstrom
4.4637 0.0000 0.0000
0.0000 4.4637 0.0000
0.0000 0.0000 11.6031
ATOMIC_POSITIONS angstrom
Sr 2.2319 0.0000 2.9682
Sr 0.0000 2.2319 8.6349
Ag 2.2319 2.2319 0.0000
Ag 0.0000 0.0000 0.0000
Ag 2.2319 0.0000 9.8922
Ag 0.0000 2.2319 1.7109
Ag 2.2319 2.2319 5.8015
Ge 2.2319 0.0000 7.3198
Ge 0.0000 2.2319 4.2832
Ge 0.0000 0.0000 5.8015
! - electronic total energy (eV per atom) = -3.36